Entry i
# KSiNi

An optimized crystal structure of KSiNi (PBE-GGA, Alexandria via LeMat-Bulk).

The volume comes out at 121.7 Å³ per cell. The calculation puts the density of states at the Fermi level at 2.40 states/eV/f.u.

The space group is Imm2 (No. 44) and the conventional cell measures 2.716, 3.771 and 11.879 Å, with angles of 90.00, 90.00 and 90.00 degrees. Symmetry generates all atoms from K at (0.000, 0.000, 0.000), Si at (0.000, 0.000, 0.269) and Ni at (0.000, 0.000, 0.738).


Entry ii
# KSiNi

An optimized crystal structure of KSiNi (PBE-GGA, Alexandria via LeMat-Bulk).

The volume comes out at 69.6 Å³ per cell. The calculation puts the density of states at the Fermi level at 2.65 states/eV/f.u.

The space group is P-6m2 (No. 187) and the conventional cell measures 3.8819, 3.8819 and 5.3370 Å, with angles of 90.00, 90.00 and 120.00 degrees. Symmetry generates all atoms from K at (0.0000, 0.0000, 0.0000), Si at (0.3333, 0.6667, 0.5000) and Ni at (0.6667, 0.3333, 0.5000).


From most stable to least stable, the computed energies give entry i, entry ii.


Entry i
# KSi2Ni2

An optimized crystal structure of KSi2Ni2 (PBE-GGA, Alexandria via LeMat-Bulk).

The volume comes out at 192.1 Å³ per cell. The calculation puts the density of states at the Fermi level at 2.49 states/eV/f.u.

The space group is I4/mmm (No. 139) and the conventional cell measures 4.015, 4.015 and 11.921 Å, with angles of 90.00, 90.00 and 90.00 degrees. Symmetry generates all atoms from K at (0.000, 0.000, 0.000), Si at (0.000, 0.000, 0.339) and Ni at (0.000, 0.500, 0.250).


Entry ii
# KSi2Ni2

An optimized crystal structure of KSi2Ni2 (PBE-GGA, Alexandria via LeMat-Bulk).

The volume comes out at 191.9 Å³ per cell. The calculation puts the density of states at the Fermi level at 2.73 states/eV/f.u.

The space group is I4/mmm (No. 139) and the conventional cell measures 3.956, 3.956 and 12.261 Å, with angles of 90.00, 90.00 and 90.00 degrees. Symmetry generates all atoms from K at (0.000, 0.000, 0.000), Si at (0.000, 0.500, 0.250) and Ni at (0.000, 0.000, 0.343).


Entry iii
# KSi2Ni2

An optimized crystal structure of KSi2Ni2 (PBE-GGA, Alexandria via LeMat-Bulk).

The volume comes out at 148.0 Å³ per cell. The calculation puts the density of states at the Fermi level at 2.04 states/eV/f.u.

The space group is P4/mbm (No. 127) and the conventional cell measures 7.602, 7.602 and 2.561 Å, with angles of 90.00, 90.00 and 90.00 degrees. Symmetry generates all atoms from K at (0.000, 0.000, 0.000), Si at (0.132, 0.368, 0.500) and Ni at (0.145, 0.645, 0.000).


From most stable to least stable, the computed energies give entry i, entry ii, entry iii.


Entry i
# K2Si2Ni

An optimized crystal structure of K2Si2Ni (PBE-GGA, Alexandria via LeMat-Bulk).

The volume comes out at 234.1 Å³ per cell. The calculation puts the density of states at the Fermi level at 3.09 states/eV/f.u.

The space group is I4/mmm (No. 139) and the conventional cell measures 4.057, 4.057 and 14.221 Å, with angles of 90.00, 90.00 and 90.00 degrees. Symmetry generates all atoms from K at (0.000, 0.500, 0.250), Si at (0.000, 0.000, 0.077) and Ni at (0.000, 0.000, 0.500).


Entry ii
# K2Si2Ni

An optimized crystal structure of K2Si2Ni (PBE-GGA, Alexandria via LeMat-Bulk).

The volume comes out at 217.8 Å³ per cell. The calculation puts the density of states at the Fermi level at 3.10 states/eV/f.u.

The space group is P4/mbm (No. 127) and the conventional cell measures 6.200, 6.200 and 5.668 Å, with angles of 90.00, 90.00 and 90.00 degrees. Symmetry generates all atoms from K at (0.183, 0.317, 0.000), Si at (0.138, 0.638, 0.500) and Ni at (0.000, 0.000, 0.500).


From most stable to least stable, the computed energies give entry ii, entry i.


Entry i
# KSi3Ni

An optimized crystal structure of KSi3Ni (PBE-GGA, Alexandria via LeMat-Bulk).

The volume comes out at 98.4 Å³ per cell. The calculation puts the density of states at the Fermi level at 4.04 states/eV/f.u.

The space group is Pm-3m (No. 221) and the conventional cell measures 4.616, 4.616 and 4.616 Å, with angles of 90.00, 90.00 and 90.00 degrees. Symmetry generates all atoms from K at (0.000, 0.000, 0.000), Si at (0.000, 0.500, 0.500) and Ni at (0.500, 0.500, 0.500).


Entry ii
# KSi3Ni

An optimized crystal structure of KSi3Ni (PBE-GGA, Alexandria via LeMat-Bulk).

The volume comes out at 138.4 Å³ per cell. The calculation puts the density of states at the Fermi level at 4.06 states/eV/f.u.

The space group is Pm-3m (No. 221) and the conventional cell measures 5.173, 5.173 and 5.173 Å, with angles of 90.00, 90.00 and 90.00 degrees. Symmetry generates all atoms from K at (0.000, 0.000, 0.000), Si at (0.000, 0.000, 0.500) and Ni at (0.500, 0.500, 0.500).


From most stable to least stable, the computed energies give entry i, entry ii.


Entry i
# KNi3Sn

An optimized crystal structure of KNi3Sn (PBE-GGA, Alexandria via LeMat-Bulk).

The volume comes out at 95.4 Å³ per cell. The calculation puts the density of states at the Fermi level at 5.78 states/eV/f.u.

The space group is Pm-3m (No. 221) and the conventional cell measures 4.569, 4.569 and 4.569 Å, with angles of 90.00, 90.00 and 90.00 degrees. Symmetry generates all atoms from K at (0.000, 0.000, 0.000), Ni at (0.000, 0.000, 0.500) and Sn at (0.500, 0.500, 0.500).


Entry ii
# KNi3Sn

An optimized crystal structure of KNi3Sn (PBE-GGA, Alexandria via LeMat-Bulk).

The volume comes out at 115.4 Å³ per cell. The calculation puts the density of states at the Fermi level at 2.71 states/eV/f.u.

The space group is Pm-3m (No. 221) and the conventional cell measures 4.868, 4.868 and 4.868 Å, with angles of 90.00, 90.00 and 90.00 degrees. Symmetry generates all atoms from K at (0.000, 0.000, 0.000), Ni at (0.000, 0.500, 0.500) and Sn at (0.500, 0.500, 0.500).


From most stable to least stable, the computed energies give entry ii, entry i.


Entry i
# KNi2Sn2

An optimized crystal structure of KNi2Sn2 (PBE-GGA, Alexandria via LeMat-Bulk).

The volume comes out at 197.9 Å³ per cell. The calculation puts the density of states at the Fermi level at 2.97 states/eV/f.u.

The space group is P4/mbm (No. 127) and the conventional cell measures 8.114, 8.114 and 3.005 Å, with angles of 90.00, 90.00 and 90.00 degrees. Symmetry generates all atoms from K at (0.000, 0.000, 0.000), Ni at (0.128, 0.372, 0.000) and Sn at (0.151, 0.651, 0.500).


Entry ii
# KNi2Sn2

An optimized crystal structure of KNi2Sn2 (PBE-GGA, Alexandria via LeMat-Bulk).

The volume comes out at 199.6 Å³ per cell. The calculation puts the density of states at the Fermi level at 3.16 states/eV/f.u.

The space group is P4/mbm (No. 127) and the conventional cell measures 8.288, 8.288 and 2.905 Å, with angles of 90.00, 90.00 and 90.00 degrees. Symmetry generates all atoms from K at (0.000, 0.000, 0.000), Ni at (0.147, 0.353, 0.500) and Sn at (0.138, 0.638, 0.000).


From most stable to least stable, the computed energies give entry i, entry ii.


Entry i
# K2SrNi

An optimized crystal structure of K2SrNi (PBE-GGA, Alexandria via LeMat-Bulk).

The volume comes out at 304.0 Å³ per cell. The calculation puts the density of states at the Fermi level at 3.52 states/eV/f.u.

The space group is I4/mmm (No. 139) and the conventional cell measures 4.879, 4.879 and 12.769 Å, with angles of 90.00, 90.00 and 90.00 degrees. Symmetry generates all atoms from K at (0.000, 0.500, 0.250), Sr at (0.000, 0.000, 0.000) and Ni at (0.000, 0.000, 0.500).


Entry ii
# K2SrNi

An optimized crystal structure of K2SrNi (PBE-GGA, Alexandria via LeMat-Bulk).

The volume comes out at 616.5 Å³ per cell. The calculation puts the density of states at the Fermi level at 1.97 states/eV/f.u.

The space group is Fm-3m (No. 225) and the conventional cell measures 8.511, 8.511 and 8.511 Å, with angles of 90.00, 90.00 and 90.00 degrees. Symmetry generates all atoms from K at (0.250, 0.250, 0.250), Sr at (0.000, 0.000, 0.000) and Ni at (0.000, 0.000, 0.500).


From most stable to least stable, the computed energies give entry i, entry ii.


Entry i
# K2SrNi

An optimized crystal structure of K2SrNi (PBE-GGA, Alexandria via LeMat-Bulk).

The volume comes out at 292.2 Å³ per cell. The calculation puts the density of states at the Fermi level at 0.85 states/eV/f.u.

The space group is I-4m2 (No. 119) and the conventional cell measures 5.916, 5.916 and 8.349 Å, with angles of 90.00, 90.00 and 90.00 degrees. Symmetry generates all atoms from K at (0.000, 0.000, 0.000), K at (0.000, 0.500, 0.250), Sr at (0.000, 0.500, 0.750) and Ni at (0.000, 0.000, 0.500).


Entry ii
# K2SrNi

An optimized crystal structure of K2SrNi (PBE-GGA, Alexandria via LeMat-Bulk).

The volume comes out at 383.1 Å³ per cell. The calculation puts the density of states at the Fermi level at 2.19 states/eV/f.u.

The space group is Cm (No. 8) and the conventional cell measures 7.659, 4.428 and 11.581 Å, with angles of 90.00, 102.75 and 90.00 degrees. Symmetry generates all atoms from K at (0.000, 0.000, 0.000), K at (0.211, 0.000, 0.638), Sr at (0.433, 0.000, 0.304) and Ni at (0.225, 0.500, 0.180).


Entry iii
# K2SrNi

An optimized crystal structure of K2SrNi (PBE-GGA, Alexandria via LeMat-Bulk).

The volume comes out at 178.0 Å³ per cell. The calculation puts the density of states at the Fermi level at 9.16 states/eV/f.u.

The space group is P4/mmm (No. 123) and the conventional cell measures 4.027, 4.027 and 10.975 Å, with angles of 90.00, 90.00 and 90.00 degrees. Symmetry generates all atoms from K at (0.000, 0.000, 0.168), Sr at (0.500, 0.500, 0.500) and Ni at (0.500, 0.500, 0.000).


From most stable to least stable, the computed energies give entry ii, entry i, entry iii.


Entry i
# K2SrNi

An optimized crystal structure of K2SrNi (PBE-GGA, Alexandria via LeMat-Bulk).

The volume comes out at 729.6 Å³ per cell. The calculation puts the density of states at the Fermi level at 2.84 states/eV/f.u.

The space group is I-42d (No. 122) and the conventional cell measures 11.192, 11.192 and 5.824 Å, with angles of 90.00, 90.00 and 90.00 degrees. Symmetry generates all atoms from K at (0.132, 0.250, 0.125), Sr at (0.000, 0.000, 0.500) and Ni at (0.000, 0.000, 0.000).


Entry ii
# K2SrNi

An optimized crystal structure of K2SrNi (PBE-GGA, Alexandria via LeMat-Bulk).

The volume comes out at 149.9 Å³ per cell. The calculation puts the density of states at the Fermi level at 6.43 states/eV/f.u.

The space group is P4/mmm (No. 123) and the conventional cell measures 4.878, 4.878 and 6.298 Å, with angles of 90.00, 90.00 and 90.00 degrees. Symmetry generates all atoms from K at (0.000, 0.500, 0.000), Sr at (0.000, 0.000, 0.500) and Ni at (0.500, 0.500, 0.500).


Entry iii
# K2SrNi

An optimized crystal structure of K2SrNi (PBE-GGA, Alexandria via LeMat-Bulk).

The volume comes out at 154.2 Å³ per cell. The calculation puts the density of states at the Fermi level at 4.72 states/eV/f.u.

The space group is P2/m (No. 10) and the conventional cell measures 5.009, 6.231 and 5.024 Å, with angles of 90.00, 100.44 and 90.00 degrees. Symmetry generates all atoms from K at (0.203, 0.000, 0.297), Sr at (0.500, 0.500, 0.000) and Ni at (0.000, 0.500, 0.500).


From most stable to least stable, the computed energies give entry i, entry ii, entry iii.


Entry i
# K2SrNi

An optimized crystal structure of K2SrNi (PBE-GGA, Alexandria via LeMat-Bulk).

The volume comes out at 349.4 Å³ per cell. The calculation puts the density of states at the Fermi level at 2.61 states/eV/f.u.

The space group is Cmm2 (No. 35) and the conventional cell measures 5.547, 5.555 and 11.338 Å, with angles of 90.00, 90.00 and 90.00 degrees. Symmetry generates all atoms from K at (0.000, 0.000, 0.000), K at (0.000, 0.500, 0.358), Sr at (0.000, 0.500, 0.675) and Ni at (0.000, 0.000, 0.561).


Entry ii
# K2SrNi

An optimized crystal structure of K2SrNi (PBE-GGA, Alexandria via LeMat-Bulk).

The volume comes out at 590.6 Å³ per cell. The calculation puts the density of states at the Fermi level at 8.91 states/eV/f.u.

The space group is R-3m (No. 166, hexagonal axes) and the conventional cell measures 4.3385, 4.3385 and 36.2319 Å, with angles of 90.00, 90.00 and 120.00 degrees. Symmetry generates all atoms from K at (0.0000, 0.0000, 0.2227), Sr at (0.0000, 0.0000, 0.0000) and Ni at (0.0000, 0.0000, 0.5000).


From most stable to least stable, the computed energies give entry i, entry ii.


Entry i
# K2SrNi

An optimized crystal structure of K2SrNi (PBE-GGA, Alexandria via LeMat-Bulk).

The volume comes out at 362.7 Å³ per cell. The calculation puts the density of states at the Fermi level at 2.97 states/eV/f.u.

The space group is Imm2 (No. 44) and the conventional cell measures 4.037, 6.317 and 14.221 Å, with angles of 90.00, 90.00 and 90.00 degrees. Symmetry generates all atoms from K at (0.000, 0.000, 0.000), K at (0.000, 0.500, 0.162), Sr at (0.000, 0.000, 0.327) and Ni at (0.000, 0.500, 0.687).


Entry ii
# K2SrNi

An optimized crystal structure of K2SrNi (PBE-GGA, Alexandria via LeMat-Bulk).

The volume comes out at 364.2 Å³ per cell. The calculation puts the density of states at the Fermi level at 3.37 states/eV/f.u.

The space group is C2/m (No. 12) and the conventional cell measures 21.257, 3.955 and 4.428 Å, with angles of 90.00, 101.97 and 90.00 degrees. Symmetry generates all atoms from K at (0.158, 0.000, 0.158), Sr at (0.000, 0.000, 0.500) and Ni at (0.000, 0.500, 0.000).


From most stable to least stable, the computed energies give entry ii, entry i.


Entry i
# KSr3Ni

An optimized crystal structure of KSr3Ni (PBE-GGA, Alexandria via LeMat-Bulk).

The volume comes out at 223.1 Å³ per cell. The calculation puts the density of states at the Fermi level at 3.64 states/eV/f.u.

The space group is Pm-3m (No. 221) and the conventional cell measures 6.065, 6.065 and 6.065 Å, with angles of 90.00, 90.00 and 90.00 degrees. Symmetry generates all atoms from K at (0.000, 0.000, 0.000), Sr at (0.000, 0.500, 0.500) and Ni at (0.500, 0.500, 0.500).


Entry ii
# KSr3Ni

An optimized crystal structure of KSr3Ni (PBE-GGA, Alexandria via LeMat-Bulk).

The volume comes out at 337.2 Å³ per cell. The calculation puts the density of states at the Fermi level at 10.22 states/eV/f.u.

The space group is Pm-3m (No. 221) and the conventional cell measures 6.960, 6.960 and 6.960 Å, with angles of 90.00, 90.00 and 90.00 degrees. Symmetry generates all atoms from K at (0.000, 0.000, 0.000), Sr at (0.000, 0.000, 0.500) and Ni at (0.500, 0.500, 0.500).


From most stable to least stable, the computed energies give entry i, entry ii.